No. 1
Density functional theory data (PBE) for an optimized crystal structure of TaPtNF2.

a b c (Å): 4.638 4.638 3.632
angles (deg): 90.00 90.00 90.00
Space group P4/mmm (No. 123)
Inequivalent atoms, fractional coordinates:
Ta: 0.000 0.000 0.000 [1 per cell]
Pt: 0.500 0.500 0.500 [1 per cell]
N: 0.500 0.500 0.000 [1 per cell]
F: 0.000 0.500 0.500 [2 per cell]

Values from the calculation:
* ΔE to the lowest computed polymorph: 659.6 kJ/mol of formula units
* final energy: -26.80 eV/cell

***

No. 2
Density functional theory data (PBE) for an optimized crystal structure of TaPtN2F.

a b c (Å): 3.976 3.976 3.998
angles (deg): 90.00 90.00 90.00
Space group P4/mmm (No. 123)
Inequivalent atoms, fractional coordinates:
Ta: 0.000 0.000 0.000 [1 per cell]
Pt: 0.500 0.500 0.500 [1 per cell]
N: 0.000 0.500 0.500 [2 per cell]
F: 0.500 0.500 0.000 [1 per cell]

Values from the calculation:
* ΔE to the lowest computed polymorph: 569.4 kJ/mol of formula units
* final energy: -30.79 eV/cell

***

No. 3
Density functional theory data (PBE) for an optimized crystal structure of TaPtN2F.

a b c (Å): 4.093 4.093 3.934
angles (deg): 90.00 90.00 90.00
Space group P4/mmm (No. 123)
Inequivalent atoms, fractional coordinates:
Ta: 0.000 0.000 0.000 [1 per cell]
Pt: 0.500 0.500 0.500 [1 per cell]
N: 0.000 0.500 0.000 [2 per cell]
F: 0.000 0.000 0.500 [1 per cell]

Values from the calculation:
* ΔE to the lowest computed polymorph: 0.0 kJ/mol of formula units
* final energy: -36.69 eV/cell

***

No. 4
Density functional theory data (PBE) for an optimized crystal structure of TaPtNF2.

a b c (Å): 4.066 4.066 4.072
angles (deg): 90.00 90.00 90.00
Space group P4/mmm (No. 123)
Inequivalent atoms, fractional coordinates:
Ta: 0.000 0.000 0.000 [1 per cell]
Pt: 0.500 0.500 0.500 [1 per cell]
N: 0.000 0.000 0.500 [1 per cell]
F: 0.000 0.500 0.000 [2 per cell]

Values from the calculation:
* ΔE to the lowest computed polymorph: 0.0 kJ/mol of formula units
* final energy: -33.64 eV/cell

***

No. 5
Density functional theory data (PBE) for an optimized crystal structure of TcPtN2F.

a b c (Å): 3.908 3.908 4.018
angles (deg): 90.00 90.00 90.00
Space group P4/mmm (No. 123)
Inequivalent atoms, fractional coordinates:
Tc: 0.000 0.000 0.000 [1 per cell]
Pt: 0.500 0.500 0.500 [1 per cell]
N: 0.000 0.500 0.000 [2 per cell]
F: 0.000 0.000 0.500 [1 per cell]

Values from the calculation:
* ΔE to the lowest computed polymorph: 0.0 kJ/mol of formula units
* final energy: -31.76 eV/cell

***

No. 6
Density functional theory data (PBE) for an optimized crystal structure of TcPtNF2.

a b c (Å): 4.128 4.128 3.844
angles (deg): 90.00 90.00 90.00
Space group P4/mmm (No. 123)
Inequivalent atoms, fractional coordinates:
Tc: 0.000 0.000 0.000 [1 per cell]
Pt: 0.500 0.500 0.500 [1 per cell]
N: 0.000 0.000 0.500 [1 per cell]
F: 0.000 0.500 0.000 [2 per cell]

Values from the calculation:
* ΔE to the lowest computed polymorph: 0.0 kJ/mol of formula units
* final energy: -28.17 eV/cell

***

No. 7
Density functional theory data (PBE) for an optimized crystal structure of TcPtN2F.

a b c (Å): 3.948 3.948 4.283
angles (deg): 90.00 90.00 90.00
Space group P4/mmm (No. 123)
Inequivalent atoms, fractional coordinates:
Tc: 0.000 0.000 0.000 [1 per cell]
Pt: 0.500 0.500 0.500 [1 per cell]
N: 0.000 0.500 0.500 [2 per cell]
F: 0.500 0.500 0.000 [1 per cell]

Values from the calculation:
* ΔE to the lowest computed polymorph: 318.9 kJ/mol of formula units
* final energy: -28.45 eV/cell

***

No. 8
Density functional theory data (PBE) for an optimized crystal structure of TcPtNF2.

a b c (Å): 4.629 4.629 3.665
angles (deg): 90.00 90.00 90.00
Space group P4/mmm (No. 123)
Inequivalent atoms, fractional coordinates:
Tc: 0.000 0.000 0.000 [1 per cell]
Pt: 0.500 0.500 0.500 [1 per cell]
N: 0.500 0.500 0.000 [1 per cell]
F: 0.000 0.500 0.500 [2 per cell]

Values from the calculation:
* ΔE to the lowest computed polymorph: 192.5 kJ/mol of formula units
* final energy: -26.17 eV/cell